Entry 1:
## PrInSe3 (GGA-PBE)

Data for a relaxed PrInSe3 crystal.

Lattice parameters (Å, degrees): 7.374 7.558 11.870 90.00 118.57 90.00
Element x y z (fractional)
Pr  0.149  0.131  0.215
Pr  0.149  0.369  0.715
Pr  0.851  0.631  0.285
Pr  0.851  0.869  0.785
In  0.264  0.652  0.120
In  0.264  0.848  0.620
In  0.736  0.152  0.380
In  0.736  0.348  0.880
Se  0.088  0.200  0.935
Se  0.088  0.300  0.435
Se  0.244  0.670  0.897
Se  0.244  0.830  0.397
Se  0.465  0.062  0.812
Se  0.465  0.438  0.312
Se  0.535  0.562  0.688
Se  0.535  0.938  0.188
Se  0.756  0.170  0.603
Se  0.756  0.330  0.103
Se  0.912  0.700  0.565
Se  0.912  0.800  0.065

The relative energy among the computed polymorphs is 0.27 eV per formula unit. The formation energy (no corrections) is -1106 meV/atom. As for the total DFT energy (no corrections): -4.70 eV per atom. For the magnetic moment, the calculation gives 0.0 μB/f.u.



Entry 2:
## NiAg3Au (GGA-PBE)

Data for a relaxed NiAg3Au crystal.

Lattice parameters (Å, degrees): 4.747 4.747 4.747 90.00 90.00 90.00
Element x y z (fractional)
Ni  0.000  0.000  0.000
Ag  0.000  0.000  0.500
Ag  0.000  0.500  0.000
Ag  0.500  0.000  0.000
Au  0.500  0.500  0.500

The relative energy among the computed polymorphs is 0.00 eV per formula unit. As for the total DFT energy (no corrections): -2.71 eV per atom. For the magnetic moment, the calculation gives 0.0 μB/f.u. For the energy of formation from the pure elements, the calculation gives 0.808 eV/atom.



Entry 3:
## Pm6Sn2Ru (GGA-PBE)

Data for a relaxed Pm6Sn2Ru crystal.

Lattice parameters (Å, degrees): 8.691 8.691 8.691 143.43 130.84 62.80
Element x y z (fractional)
Pm  0.100  0.352  0.748
Pm  0.225  0.000  0.225
Pm  0.396  0.648  0.748
Pm  0.604  0.352  0.252
Pm  0.775  0.000  0.775
Pm  0.900  0.648  0.252
Sn  0.327  0.827  0.500
Sn  0.673  0.173  0.500
Ru  0.000  0.500  0.500

As for the total DFT energy (no corrections): -5.42 eV per atom. For the magnetic moment, the calculation gives 0.0 μB/f.u. For the energy of formation from the pure elements, the calculation gives -0.334 eV/atom.



Entry 4:
## La3InRu (GGA-PBE)

Data for a relaxed La3InRu crystal.

Lattice parameters (Å, degrees): 7.013 7.013 7.013 72.31 72.31 72.31
Element x y z (fractional)
La  0.032  0.394  0.574
La  0.074  0.894  0.532
La  0.394  0.574  0.032
La  0.532  0.074  0.894
La  0.574  0.032  0.394
La  0.894  0.532  0.074
In  0.017  0.017  0.017
In  0.517  0.517  0.517
Ru  0.210  0.210  0.210
Ru  0.710  0.710  0.710

The relative energy among the computed polymorphs is 0.42 eV per formula unit. As for the total DFT energy (no corrections): -5.69 eV per atom. For the magnetic moment, the calculation gives 0.0 μB/f.u. For the energy of formation from the pure elements, the calculation gives -0.334 eV/atom.



Entry 5:
## SrPd (GGA-PBE)

Data for a relaxed SrPd crystal.

Lattice parameters (Å, degrees): 6.083 6.083 4.550 90.00 90.00 138.82
Element x y z (fractional)
Sr  0.139  0.861  0.750
Sr  0.861  0.139  0.250
Pd  0.428  0.572  0.750
Pd  0.572  0.428  0.250

As for the total DFT energy (no corrections): -4.04 eV per atom. For the magnetic moment, the calculation gives 0.0 μB/f.u. For the energy of formation from the pure elements, the calculation gives -0.606 eV/atom.



Entry 6:
## Y3Sc4S8 (GGA-PBE)

Data for a relaxed Y3Sc4S8 crystal.

Lattice parameters (Å, degrees): 7.590 7.590 7.551 119.81 119.81 90.05
Element x y z (fractional)
Y  0.000  0.000  0.000
Y  0.000  0.500  0.500
Y  0.500  0.000  0.500
Sc  0.000  0.500  0.000
Sc  0.500  0.000  0.000
Sc  0.500  0.500  0.000
Sc  0.500  0.500  0.500
S  0.254  0.746  0.500
S  0.255  0.745  0.000
S  0.259  0.259  0.007
S  0.260  0.260  0.511
S  0.740  0.740  0.489
S  0.741  0.741  0.993
S  0.745  0.255  0.000
S  0.746  0.254  0.500

The formation energy (no corrections) is -1964 meV/atom. As for the total DFT energy (no corrections): -7.15 eV per atom. For the magnetic moment, the calculation gives 0.0 μB/f.u.



Entry 7:
## Nb2VRh7 (GGA-PBE)

Data for a relaxed Nb2VRh7 crystal.

Lattice parameters (Å, degrees): 8.599 8.599 2.765 90.00 90.00 124.28
Element x y z (fractional)
Nb  0.171  0.829  0.000
Nb  0.829  0.171  0.000
V  0.500  0.500  0.500
Rh  0.000  0.000  0.000
Rh  0.193  0.374  0.000
Rh  0.316  0.684  0.500
Rh  0.374  0.193  0.000
Rh  0.626  0.807  0.000
Rh  0.684  0.316  0.500
Rh  0.807  0.626  0.000

As for the total DFT energy (no corrections): -7.86 eV per atom. For the magnetic moment, the calculation gives 0.2 μB/f.u. For the energy of formation from the pure elements, the calculation gives 0.212 eV/atom.



Entry 8:
## NaY4ThS8 (GGA-PBE)

Data for a relaxed NaY4ThS8 crystal.

Lattice parameters (Å, degrees): 8.198 8.198 8.198 59.13 59.13 59.13
Element x y z (fractional)
Na  0.000  0.000  0.000
Y  0.117  0.632  0.632
Y  0.256  0.256  0.256
Y  0.632  0.117  0.632
Y  0.632  0.632  0.117
Th  0.631  0.631  0.631
S  0.383  0.383  0.856
S  0.383  0.856  0.383
S  0.387  0.387  0.387
S  0.409  0.869  0.869
S  0.856  0.383  0.383
S  0.866  0.866  0.866
S  0.869  0.409  0.869
S  0.869  0.869  0.409

The formation energy (no corrections) is -1901 meV/atom. As for the total DFT energy (no corrections): -6.73 eV per atom. For the magnetic moment, the calculation gives 0.0 μB/f.u.